First-principles (PBE) data for a relaxed structure of Cs3Pm3AlTe8, as listed in the Alexandria database.

Computed properties:
Spin magnetization (μB/atom): 0.000
Formation energy (no corrections) (meV per atom): -1111
Calculated total energy (eV per cell): -62.36

a b c (Å): 10.607 10.607 10.607
angles (deg): 49.84 49.84 49.84
Element x y z (fractional)
Cs  0.000  0.500  0.500
Cs  0.500  0.000  0.500
Cs  0.500  0.500  0.000
Pm  0.000  0.000  0.500
Pm  0.000  0.500  0.000
Pm  0.500  0.000  0.000
Al  0.500  0.500  0.500
Te  0.232  0.232  0.232
Te  0.255  0.713  0.713
Te  0.287  0.287  0.745
Te  0.287  0.745  0.287
Te  0.713  0.255  0.713
Te  0.713  0.713  0.255
Te  0.745  0.287  0.287
Te  0.768  0.768  0.768

First-principles (PBE) data for a relaxed structure of Cs3Pr3AlS8, as listed in the Alexandria database.

Computed properties:
Spin magnetization (μB/atom): 0.000
Formation energy (no corrections) (meV per atom): -1490
Calculated total energy (eV per cell): -76.01

a b c (Å): 9.510 9.510 9.510
angles (deg): 51.42 51.42 51.42
Element x y z (fractional)
Cs  0.000  0.500  0.500
Cs  0.500  0.000  0.500
Cs  0.500  0.500  0.000
Pr  0.000  0.000  0.500
Pr  0.000  0.500  0.000
Pr  0.500  0.000  0.000
Al  0.500  0.500  0.500
S  0.230  0.230  0.230
S  0.262  0.704  0.704
S  0.296  0.296  0.738
S  0.296  0.738  0.296
S  0.704  0.262  0.704
S  0.704  0.704  0.262
S  0.738  0.296  0.296
S  0.770  0.770  0.770

First-principles (PBE) data for a relaxed structure of Cs2PrAlS4, as listed in the Alexandria database.

Computed properties:
Spin magnetization (μB/atom): 0.000
Formation energy (no corrections) (meV per atom): -1375
Calculated total energy (eV per cell): -75.47

a b c (Å): 15.139 13.620 8.030
angles (deg): 84.55 63.58 31.87
Element x y z (fractional)
Cs  0.056  0.056  0.694
Cs  0.306  0.306  0.944
Cs  0.694  0.694  0.056
Cs  0.944  0.944  0.306
Pr  0.125  0.125  0.125
Pr  0.875  0.875  0.875
Al  0.375  0.375  0.375
Al  0.625  0.625  0.625
S  0.028  0.624  0.534
S  0.314  0.534  0.624
S  0.376  0.972  0.686
S  0.466  0.686  0.972
S  0.534  0.314  0.028
S  0.624  0.028  0.314
S  0.686  0.466  0.376
S  0.972  0.376  0.466